VASP calculation (PBE) on a geometry-optimized La2CuBPd6 structure.

Cell: 5.760 7.292 7.319 Å, 46.39 66.63 89.90°
Fractional positions:
Pd 0.735 0.775 0.534
Pd 0.778 0.737 0.953
Pd 0.266 0.736 0.950
Pd 0.265 0.225 0.466
Pd 0.222 0.263 0.047
Pd 0.734 0.264 0.050
Cu 0.000 0.000 0.000
La 0.722 0.280 0.553
La 0.278 0.720 0.447
B 0.500 0.500 0.000

energy relative to the elements	-6.30	eV/f.u.
density of states at the Fermi level	3.79	states/eV/f.u.
density	8.8	Mg/m³
crystal system	triclinic
VASP energy	-5.8090	eV per atom